This record from the Alexandria database describes a relaxed structure of LaCdP2. The functional is PBEsol.

Cell: 6.9002 6.9002 6.9002 Å, 90.00 90.00 90.00°
Last column: nearest neighbours and their distance in Å.
Positions (direct):
La: 0.0000 0.0000 0.0000  8 P 2.99
La: 0.0000 0.5000 0.5000  8 P 2.99
La: 0.5000 0.0000 0.5000  8 P 2.99
La: 0.5000 0.5000 0.0000  8 P 2.99
Cd: 0.0000 0.0000 0.5000  8 P 2.99
Cd: 0.0000 0.5000 0.0000  8 P 2.99
Cd: 0.5000 0.0000 0.0000  8 P 2.99
Cd: 0.5000 0.5000 0.5000  8 P 2.99
P: 0.2500 0.2500 0.2500  4 Cd 2.99, 4 La 2.99
P: 0.2500 0.2500 0.7500  4 Cd 2.99, 4 La 2.99
P: 0.2500 0.7500 0.2500  4 Cd 2.99, 4 La 2.99
P: 0.2500 0.7500 0.7500  4 Cd 2.99, 4 La 2.99
P: 0.7500 0.2500 0.2500  4 Cd 2.99, 4 La 2.99
P: 0.7500 0.2500 0.7500  4 Cd 2.99, 4 La 2.99
P: 0.7500 0.7500 0.2500  4 Cd 2.99, 4 La 2.99
P: 0.7500 0.7500 0.7500  4 Cd 2.99, 4 La 2.99

Values from the calculation:
E (eV/atom): -5.0262
Formation enthalpy at 0 K (kJ per mole of atoms): -47.7
V (Å³ per cell): 328.5
Energy above the most stable polymorph in this dataset (meV per atom): 41
D(E_F) (states/eV per atom): 0.551


This record from the Alexandria database describes a relaxed structure of OsBr2Cl. The functional is PBEsol.

Cell: 2.9447 3.2324 8.9665 Å, 90.00 90.00 90.00°
Last column: nearest neighbours and their distance in Å.
Positions (direct):
Os: 0.0000 0.0000 0.0000  4 Br 2.56, 4 Cl 2.75
Br: 0.0000 0.0000 0.5371  4 Br 2.94-3.23
Br: 0.5000 0.5000 0.8518  4 Os 2.56
Cl: 0.5000 0.5000 0.1860  4 Os 2.75, 2 Cl 2.94, 1 Br 3.00

Values from the calculation:
E (eV/atom): -3.7612
V (Å³ per cell): 85.3
Uncorrected formation energy (eV per formula unit): 2.9
Energy above the most stable polymorph in this dataset (meV per atom): 684
D(E_F) (states/eV per atom): 0.517


This record from the Alexandria database describes a relaxed structure of Mo2AsBr. The functional is PBEsol.

Cell: 3.1335 3.9213 10.6736 Å, 90.00 90.00 90.00°
Last column: nearest neighbours and their distance in Å.
Positions (direct):
Mo: 0.0000 0.0000 0.0000  2 As 2.53, 4 Br 2.59
Mo: 0.0000 0.5000 0.2542  4 As 2.61, 2 Br 2.78
Mo: 0.5000 0.0000 0.7542  4 As 2.61, 2 Br 2.78
Mo: 0.5000 0.5000 0.5000  2 As 2.53, 4 Br 2.59
As: 0.0000 0.5000 0.6855  6 Mo 2.53-2.61
As: 0.5000 0.0000 0.1855  6 Mo 2.53-2.61
Br: 0.0000 0.0000 0.4390  6 Mo 2.59-2.78
Br: 0.5000 0.5000 0.9390  6 Mo 2.59-2.78

Values from the calculation:
E (eV/atom): -7.2086
V (Å³ per cell): 131.2
Uncorrected formation energy (eV per formula unit): 1.7
Energy above the most stable polymorph in this dataset (meV per atom): 128
D(E_F) (states/eV per atom): 1.082


This record from the Alexandria database describes a relaxed structure of Li2AlSi. The functional is PBEsol.

Cell: 3.7495 3.7495 4.1615 Å, 90.00 90.00 90.00°
Last column: nearest neighbours and their distance in Å.
Positions (direct):
Li: 0.0000 0.5000 0.0000  4 Li 2.65, 4 Al 2.80, 4 Si 2.80
Li: 0.5000 0.0000 0.0000  4 Li 2.65, 4 Al 2.80, 4 Si 2.80
Al: 0.0000 0.0000 0.5000  4 Si 2.65, 8 Li 2.80
Si: 0.5000 0.5000 0.5000  4 Al 2.65, 8 Li 2.80

Values from the calculation:
E (eV/atom): -3.6329
V (Å³ per cell): 58.5
Uncorrected formation energy (eV per formula unit): -0.8
D(E_F) (states/eV per atom): 0.283


This record from the Alexandria database describes a relaxed structure of ReSi. The functional is PBEsol.

Cell: 8.5769 2.9914 4.3493 Å, 90.00 107.36 90.00°
Last column: nearest neighbours and their distance in Å.
Positions (direct):
Re: 0.1199 0.0000 0.3189  7 Si 2.48-2.71, 2 Re 2.76
Re: 0.3801 0.5000 0.6811  7 Si 2.48-2.71, 2 Re 2.76
Re: 0.6199 0.5000 0.3189  7 Si 2.48-2.71, 2 Re 2.76
Re: 0.8801 0.0000 0.6811  7 Si 2.48-2.71, 2 Re 2.76
Si: 0.1265 0.5000 0.8426  7 Re 2.48-2.71, 2 Si 2.62
Si: 0.3735 0.0000 0.1574  7 Re 2.48-2.71, 2 Si 2.62
Si: 0.6265 0.0000 0.8426  7 Re 2.48-2.71, 2 Si 2.62
Si: 0.8735 0.5000 0.1574  7 Re 2.48-2.71, 2 Si 2.62

Values from the calculation:
E (eV/atom): -9.8518
V (Å³ per cell): 106.5
Uncorrected formation energy (eV per formula unit): -0.6
D(E_F) (states/eV per atom): 0.491


This record from the Alexandria database describes a relaxed structure of SrTlAu2. The functional is PBEsol.

Cell: 4.0296 5.0101 9.3950 Å, 90.00 90.00 90.00°
Last column: nearest neighbours and their distance in Å.
Positions (direct):
Sr: 0.0000 0.0000 0.0000  8 Au 3.22-3.30, 4 Tl 3.26-3.30
Sr: 0.5000 0.5000 0.5000  8 Au 3.22-3.30, 4 Tl 3.26-3.30
Tl: 0.0000 0.5000 0.7784  6 Au 3.01-3.25, 4 Sr 3.26-3.30
Tl: 0.5000 0.0000 0.2784  6 Au 3.01-3.25, 4 Sr 3.26-3.30
Au: 0.0000 0.0000 0.5164  2 Au 2.83, 2 Tl 3.01
Au: 0.0000 0.5000 0.2284  2 Au 2.83
Au: 0.5000 0.0000 0.7284  2 Au 2.83
Au: 0.5000 0.5000 0.0164  2 Au 2.83, 2 Tl 3.01

Values from the calculation:
E (eV/atom): -3.4530
Formation enthalpy at 0 K (kJ per mole of atoms): -36.0
V (Å³ per cell): 189.7
D(E_F) (states/eV per atom): 0.429


This record from the Alexandria database describes a relaxed structure of Li4Mn3Sn2Sb3O16. The functional is PBEsol.

Cell: 6.2484 6.2484 9.8399 Å, 91.23 91.23 59.53°
Last column: nearest neighbours and their distance in Å.
Positions (direct):
Li: 0.0000 0.0000 0.0000  4 O 1.83-2.03
Li: 0.0095 0.0095 0.5166  3 O 1.82-2.01
Li: 0.3387 0.3387 0.6102  4 O 2.01-2.09
Li: 0.6714 0.6714 0.0935  3 O 1.98-2.04
Mn: 0.1629 0.1629 0.2859  6 O 2.10-2.18
Mn: 0.3329 0.8211 0.7877  5 O 2.03-2.22
Mn: 0.8211 0.3329 0.7877  5 O 2.03-2.22
Sn: 0.3162 0.3162 0.0001  5 O 2.03-2.17
Sn: 0.6554 0.6554 0.5167  6 O 2.09-2.26
Sb: 0.1624 0.6558 0.2855  6 O 2.04-2.12
Sb: 0.6558 0.1624 0.2855  6 O 2.04-2.12
Sb: 0.8236 0.8236 0.7849  6 O 2.01-2.06
O: 0.0343 0.4847 0.1558  1 Li 2.04, 1 Sb 2.04, 1 Sn 2.17, 1 Mn 2.18
O: 0.1424 0.6655 0.9037  1 Li 2.03, 1 Sb 2.06, 1 Sn 2.12, 1 Mn 2.22
O: 0.1506 0.1506 0.8988  1 Li 1.93, 1 Sn 2.03, 2 Mn 2.08
O: 0.3179 0.8271 0.4044  1 Li 2.01, 1 Sb 2.10, 1 Sn 2.12, 1 Mn 2.17
O: 0.3351 0.3351 0.3981  2 Sb 2.06, 1 Li 2.09, 1 Mn 2.15
O: 0.4756 0.4756 0.1588  2 Sb 2.11, 1 Li 2.23, 1 Sn 2.30
O: 0.4847 0.0343 0.1558  1 Li 2.04, 1 Sb 2.04, 1 Sn 2.17, 1 Mn 2.18
O: 0.5187 0.5187 0.6624  1 Li 2.01, 2 Mn 2.04, 1 Sn 2.09
O: 0.5282 0.9654 0.6554  1 Sb 2.03, 1 Li 2.06, 1 Sn 2.15
O: 0.6655 0.1424 0.9037  1 Li 2.03, 1 Sb 2.06, 1 Sn 2.12, 1 Mn 2.22
O: 0.6679 0.6679 0.8917  1 Li 1.98, 1 Sb 2.01, 2 Mn 2.06
O: 0.8271 0.3179 0.4044  1 Li 2.01, 1 Sb 2.10, 1 Sn 2.12, 1 Mn 2.17
O: 0.8317 0.8317 0.3995  2 Sb 2.12, 1 Li 2.22, 1 Sn 2.26
O: 0.9654 0.5282 0.6554  1 Sb 2.03, 1 Li 2.06, 1 Sn 2.15
O: 0.9901 0.9901 0.1853  1 Li 1.83
O: 0.9896 0.9896 0.6994  1 Li 1.82, 1 Sb 2.01, 2 Mn 2.03

Values from the calculation:
E (eV/atom): -6.6957
V (Å³ per cell): 331.0
Uncorrected formation energy (eV per formula unit): -44.1
D(E_F) (states/eV per atom): 0.158


This record from the Alexandria database describes a relaxed structure of CdP3. The functional is PBEsol.

Cell: 3.4840 3.4840 18.9788 Å, 90.00 90.00 120.00°
Last column: nearest neighbours and their distance in Å.
Positions (direct):
Cd: 0.0000 0.0000 0.0000  6 P 2.75
Cd: 0.3333 0.6667 0.6667  6 P 2.75
Cd: 0.6667 0.3333 0.3333  6 P 2.75
P: 0.0000 0.0000 0.2347  3 P 2.39
P: 0.0000 0.0000 0.5000  6 P 2.39
P: 0.0000 0.0000 0.7653  3 P 2.39
P: 0.3333 0.6667 0.1667  6 P 2.39
P: 0.3333 0.6667 0.4320  3 P 2.39
P: 0.3333 0.6667 0.9014  3 P 2.39
P: 0.6667 0.3333 0.0986  3 P 2.39
P: 0.6667 0.3333 0.5680  3 P 2.39
P: 0.6667 0.3333 0.8333  6 P 2.39

Values from the calculation:
E (eV/atom): -4.5445
Formation enthalpy at 0 K (kJ per mole of atoms): 9.5
V (Å³ per cell): 199.5
Energy above the most stable polymorph in this dataset (meV per atom): 112
D(E_F) (states/eV per atom): 0.242


This record from the Alexandria database describes a relaxed structure of MgFe2Co. The functional is PBEsol.

Cell: 2.9055 2.9055 5.9611 Å, 90.00 90.00 90.00°
Last column: nearest neighbours and their distance in Å.
Positions (direct):
Mg: 0.0000 0.0000 0.0000  4 Co 2.67, 5 Fe 2.72-2.92, 4 Mg 2.91
Fe: 0.0000 0.0000 0.4899  4 Co 2.39, 4 Fe 2.41
Fe: 0.5000 0.5000 0.7019  4 Fe 2.41, 1 Co 2.48
Co: 0.5000 0.5000 0.2852  5 Fe 2.39-2.48, 4 Mg 2.67

Values from the calculation:
E (eV/atom): -6.6735
Formation enthalpy at 0 K (kJ per mole of atoms): 16.6
V (Å³ per cell): 50.3
D(E_F) (states/eV per atom): 1.231


This record from the Alexandria database describes a relaxed structure of Sr4Hf3O10. The functional is PBEsol.

Cell: 14.9719 14.9719 5.7021 Å, 90.00 90.00 21.96°
Last column: nearest neighbours and their distance in Å.
Positions (direct):
Sr: 0.0697 0.0697 0.0000  8 O 2.58-2.85
Sr: 0.2055 0.2055 0.0000  3 O 2.44-2.52
Sr: 0.2945 0.2945 0.5000  3 O 2.44-2.52
Sr: 0.4303 0.4303 0.5000  8 O 2.58-2.85
Sr: 0.5697 0.5697 0.5000  8 O 2.58-2.85
Sr: 0.7055 0.7055 0.5000  3 O 2.44-2.52
Sr: 0.7945 0.7945 0.0000  3 O 2.44-2.52
Sr: 0.9303 0.9303 0.0000  8 O 2.58-2.85
Hf: 0.0000 0.0000 0.5000  6 O 2.06
Hf: 0.1411 0.1411 0.5000  6 O 2.06-2.08
Hf: 0.3589 0.3589 0.0000  6 O 2.06-2.08
Hf: 0.5000 0.5000 0.0000  6 O 2.06
Hf: 0.6411 0.6411 0.0000  6 O 2.06-2.08
Hf: 0.8589 0.8589 0.5000  6 O 2.06-2.08
O: 0.0600 0.6606 0.1997  2 Hf 2.06
O: 0.0701 0.0701 0.5000  2 Hf 2.06-2.08
O: 0.1606 0.5600 0.6997  2 Hf 2.06
O: 0.1947 0.8053 0.8053  2 Hf 2.06
O: 0.2114 0.2114 0.5000  1 Hf 2.07
O: 0.2886 0.2886 0.0000  1 Hf 2.07
O: 0.3053 0.6947 0.3053  2 Hf 2.06
O: 0.3394 0.9400 0.1997  2 Hf 2.06
O: 0.4299 0.4299 0.0000  2 Hf 2.06-2.08
O: 0.4400 0.8394 0.6997  2 Hf 2.06
O: 0.5600 0.1606 0.3003  2 Hf 2.06
O: 0.5701 0.5701 0.0000  2 Hf 2.06-2.08
O: 0.6606 0.0600 0.8003  2 Hf 2.06
O: 0.6947 0.3053 0.6947  2 Hf 2.06
O: 0.7114 0.7114 0.0000  1 Hf 2.07
O: 0.7886 0.7886 0.5000  1 Hf 2.07
O: 0.8053 0.1947 0.1947  2 Hf 2.06
O: 0.8394 0.4400 0.3003  2 Hf 2.06
O: 0.9299 0.9299 0.5000  2 Hf 2.06-2.08
O: 0.9400 0.3394 0.8003  2 Hf 2.06

Values from the calculation:
E (eV/atom): -8.7310
V (Å³ per cell): 477.9
Uncorrected formation energy (eV per formula unit): -57.1
D(E_F) (states/eV per atom): 0.000


This record from the Alexandria database describes a relaxed structure of BeMoOs2. The functional is PBEsol.

Cell: 2.7920 4.3464 8.4531 Å, 90.00 90.00 90.00°
Last column: nearest neighbours and their distance in Å.
Positions (direct):
Be: 0.0000 0.0000 0.0000  4 Os 2.32, 4 Mo 2.58
Be: 0.5000 0.5000 0.5000  4 Os 2.32, 4 Mo 2.58
Mo: 0.0000 0.0000 0.5000  4 Be 2.58, 8 Os 2.75-2.85, 2 Mo 2.79
Mo: 0.5000 0.5000 0.0000  4 Be 2.58, 8 Os 2.75-2.85, 2 Mo 2.79
Os: 0.0000 0.5000 0.2810  2 Be 2.32
Os: 0.0000 0.5000 0.7190  2 Be 2.32
Os: 0.5000 0.0000 0.2190  2 Be 2.32
Os: 0.5000 0.0000 0.7810  2 Be 2.32

Values from the calculation:
E (eV/atom): -10.0235
Formation enthalpy at 0 K (kJ per mole of atoms): 2.5
V (Å³ per cell): 102.6
D(E_F) (states/eV per atom): 0.865


This record from the Alexandria database describes a relaxed structure of NaZn3S. The functional is PBEsol.

Cell: 4.9794 4.9794 4.9794 Å, 90.00 90.00 90.00°
Last column: nearest neighbours and their distance in Å.
Positions (direct):
Na: 0.0000 0.0000 0.0000  6 Zn 2.49
Zn: 0.0000 0.0000 0.5000  2 Na 2.49
Zn: 0.0000 0.5000 0.0000  2 Na 2.49
Zn: 0.5000 0.0000 0.0000  2 Na 2.49
S: 0.5000 0.5000 0.5000  12 Zn 3.52

Values from the calculation:
E (eV/atom): -1.0994
V (Å³ per cell): 123.5
Uncorrected formation energy (eV per formula unit): 5.0
D(E_F) (states/eV per atom): 0.929